# 1
First-principles (meta-GGA SCAN) data for Ba2NbWI at its PBEsol-relaxed geometry, as listed in Alexandria.

Values from the calculation:
DFT total energy: -211.346 eV for the cell shown
DOS at the Fermi energy: 0.989 states/eV per atom
Uncorrected formation energy: 1463 meV/atom

```
Ba2NbWI
1.0
6.0459 0.0000 0.0000
0.0000 6.0459 0.0000
0.0000 0.0000 5.0677
Ba Nb W I
2 1 1 1
direct
0.0000 0.5000 0.0000 Ba
0.5000 0.0000 0.0000 Ba
0.0000 0.0000 0.5000 Nb
0.5000 0.5000 0.0000 W
0.5000 0.5000 0.5000 I
```

=====

# 2
First-principles (meta-GGA SCAN) data for Ba2NiPbI at its PBEsol-relaxed geometry, as listed in Alexandria.

Values from the calculation:
DFT total energy: -209.205 eV for the cell shown
DOS at the Fermi energy: 0.717 states/eV per atom
Uncorrected formation energy: -282 meV/atom

```
Ba2NiPbI
1.0
6.5231 0.0000 0.0000
0.0000 6.5231 0.0000
0.0000 0.0000 4.5562
Ba Ni Pb I
2 1 1 1
direct
0.0000 0.5000 0.0000 Ba
0.5000 0.0000 0.0000 Ba
0.0000 0.0000 0.5000 Ni
0.5000 0.5000 0.5000 Pb
0.0000 0.0000 0.0000 I
```